1.
Below is a relaxed structure of Er3TeC, with properties calculated at the GGA-PBE level.

Output
V, Å³ per atom: 22.79
Energy relative to the elements, uncorrected, meV per atom: -517
Distance to the lowest polymorph of the same formula, meV/atom: 71
Total energy, eV per atom: -5.73

Structure (POSCAR):
```
Er3TeC
1.0
-1.467 4.293 -1.711
-1.752 -2.178 -3.962
-4.276 -0.580 2.210
Er C Te
3 1 1
direct
0.500 0.000 0.000
0.000 0.500 0.000
0.000 0.000 0.500
0.000 0.000 0.000
0.500 0.500 0.500
```

2.
Below is a relaxed structure of CuTeSe2, with properties calculated at the GGA-PBE level.

Output
V, Å³ per atom: 23.15
Energy relative to the elements, uncorrected, meV per atom: 181
Total energy, eV per atom: -3.37

Structure (POSCAR):
```
CuTeSe2
1.0
3.565 0.000 0.000
0.000 3.565 0.000
0.000 0.000 7.287
Se Te Cu
2 1 1
direct
0.000 0.000 0.857
0.500 0.500 0.245
0.000 0.000 0.482
0.500 0.500 0.915
```

3.
Below is a relaxed structure of SrPb3Br, with properties calculated at the GGA-PBE level.

Output
V, Å³ per atom: 39.14
Energy relative to the elements, uncorrected, meV per atom: 53
Distance to the lowest polymorph of the same formula, meV/atom: 0
Total energy, eV per atom: -2.84

Structure (POSCAR):
```
SrPb3Br
1.0
-0.184 0.859 5.739
-4.352 -3.818 0.432
3.838 -4.288 0.765
Br Pb Sr
1 3 1
direct
0.000 0.000 0.000
0.000 0.500 0.000
0.000 0.000 0.500
0.500 0.000 0.000
0.500 0.500 0.500
```

4.
Below is a relaxed structure of LiCuAg2, with properties calculated at the GGA-PBE level.

Output
V, Å³ per atom: 15.55
Total energy, eV per atom: -2.97
E_form, eV/atom: -0.047

Structure (POSCAR):
```
LiCuAg2
1.0
-4.133 2.608 0.552
-3.434 1.629 3.122
1.817 4.230 1.117
Ag Li Cu
2 1 1
direct
0.001 0.001 0.980
0.245 0.245 0.276
0.754 0.754 0.759
0.500 0.500 0.486
```

5.
Below is a relaxed structure of HfTlCuRh2, with properties calculated at the GGA-PBE level.

Output
V, Å³ per atom: 19.63
Distance to the lowest polymorph of the same formula, meV/atom: 0
Total energy, eV per atom: -5.54
E_form, eV/atom: 0.681

Structure (POSCAR):
```
HfTlCuRh2
1.0
4.621 0.000 0.000
0.000 4.596 0.000
0.000 0.000 4.621
Rh Tl Hf Cu
2 1 1 1
direct
0.000 0.000 0.500
0.500 0.000 0.000
0.000 0.500 0.000
0.500 0.500 0.500
0.000 0.000 0.000
```

6.
Below is a relaxed structure of Cu3HgW, with properties calculated at the GGA-PBE level.

Output
V, Å³ per atom: 19.66
Distance to the lowest polymorph of the same formula, meV/atom: 346
Total energy, eV per atom: -3.24
E_form, eV/atom: 1.865

Structure (POSCAR):
```
Cu3HgW
1.0
-2.452 2.563 -2.952
-3.880 -1.170 2.207
0.478 3.655 2.776
Cu Hg W
3 1 1
direct
0.500 0.000 0.000
0.000 0.000 0.500
0.000 0.500 0.000
0.000 0.000 0.000
0.500 0.500 0.500
```

7.
Below is a relaxed structure of UTe3O9, with properties calculated at the GGA-PBE level.

Output
V, Å³ per atom: 19.76
Energy relative to the elements, uncorrected, meV per atom: -1613
Total energy, eV per atom: -6.64

Structure (POSCAR):
```
UTe3O9
1.0
0.058 -5.248 3.319
-1.950 -6.831 -4.958
10.372 -2.986 0.907
Te O U
6 18 2
direct
0.323 0.747 0.229
0.701 0.247 0.729
0.770 0.634 0.686
0.910 0.134 0.186
0.004 0.940 0.894
0.162 0.440 0.394
0.659 0.469 0.638
0.630 0.646 0.099
0.366 0.217 0.386
0.409 0.519 0.325
0.112 0.510 0.580
0.236 0.032 0.617
0.388 0.352 0.853
0.747 0.019 0.825
0.814 0.949 0.344
0.798 0.010 0.080
0.234 0.969 0.138
0.116 0.532 0.117
0.717 0.753 0.547
0.407 0.852 0.353
0.624 0.146 0.599
0.892 0.449 0.844
0.031 0.717 0.886
0.983 0.253 0.047
0.010 0.489 0.980
0.520 0.989 0.480
```

8.
Below is a relaxed structure of GdMgScMn, with properties calculated at the GGA-PBE level.

Output
V, Å³ per atom: 22.74
Total energy, eV per atom: -7.70
E_form, eV/atom: 0.096

Structure (POSCAR):
```
GdMgScMn
1.0
-1.475 -1.129 4.694
-1.695 -4.633 1.068
2.780 -3.112 2.839
Gd Mg Sc Mn
1 1 1 1
direct
0.750 0.750 0.750
0.000 0.000 0.000
0.250 0.250 0.250
0.500 0.500 0.500
```

9.
Below is a relaxed structure of AcNdSm6Er2, with properties calculated at the GGA-PBE level.

Output
V, Å³ per atom: 34.85
Total energy, eV per atom: -4.51
E_form, eV/atom: 0.124

Structure (POSCAR):
```
AcNdSm6Er2
1.0
-1.894 -7.308 6.130
-3.090 -4.550 -7.118
8.851 -0.360 1.567
Nd Sm Ac Er
2 12 2 4
direct
0.750 0.590 0.410
0.250 0.410 0.590
0.056 0.117 0.752
0.444 0.248 0.883
0.556 0.752 0.117
0.382 0.514 0.292
0.118 0.708 0.486
0.944 0.883 0.248
0.821 0.447 0.987
0.882 0.292 0.514
0.679 0.013 0.553
0.618 0.486 0.708
0.179 0.553 0.013
0.321 0.987 0.447
0.750 0.033 0.967
0.250 0.967 0.033
0.549 0.201 0.309
0.451 0.799 0.691
0.049 0.309 0.201
0.951 0.691 0.799
```

10.
Below is a relaxed structure of AcThCl, with properties calculated at the GGA-PBE level.

Output
V, Å³ per atom: 34.44
Energy relative to the elements, uncorrected, meV per atom: -446
Total energy, eV per atom: -4.90

Structure (POSCAR):
```
AcThCl
1.0
-5.622 -0.746 -3.198
-3.173 -5.671 -0.401
-10.701 -4.356 1.699
Th Cl Ac
2 2 2
direct
0.655 0.655 0.899
0.099 0.099 0.407
0.482 0.482 0.283
0.271 0.271 0.025
0.681 0.681 0.504
0.072 0.072 0.804
```

Please write out number 3 again, unchanged.
Below is a relaxed structure of SrPb3Br, with properties calculated at the GGA-PBE level.

Output
V, Å³ per atom: 39.14
Energy relative to the elements, uncorrected, meV per atom: 53
Distance to the lowest polymorph of the same formula, meV/atom: 0
Total energy, eV per atom: -2.84

Structure (POSCAR):
```
SrPb3Br
1.0
-0.184 0.859 5.739
-4.352 -3.818 0.432
3.838 -4.288 0.765
Br Pb Sr
1 3 1
direct
0.000 0.000 0.000
0.000 0.500 0.000
0.000 0.000 0.500
0.500 0.000 0.000
0.500 0.500 0.500
```